# Ce5AgTe8 (PBE, relaxed)
# Electronic total energy ... -5.330 eV/atom
# Total magnetic moment ... 0.359 μB per atom
data_Ce5AgTe8
_chemical_formula_sum 'Ce10 Ag2 Te16'
_symmetry_space_group_name_H-M 'I -4'
_symmetry_Int_Tables_number 82
_cell_length_a 9.4071
_cell_length_b 9.4071
_cell_length_c 9.6862
_cell_angle_alpha 90.00
_cell_angle_beta 90.00
_cell_angle_gamma 90.00
loop_
_symmetry_equiv_pos_as_xyz
'x,y,z'
'y,-x,-z'
'-x,-y,z'
'-y,x,-z'
'x+1/2,y+1/2,z+1/2'
'y+1/2,-x+1/2,-z+1/2'
'-x+1/2,-y+1/2,z+1/2'
'-y+1/2,x+1/2,-z+1/2'
loop_
_atom_site_label
_atom_site_fract_x
_atom_site_fract_y
_atom_site_fract_z
Ce1 0.0000 0.0000 0.0000
Ce2 0.1260 0.7514 0.3833
Ag1 0.0000 0.5000 0.7500
Te1 0.0689 0.8161 0.7085
Te2 0.0802 0.6797 0.0639

# CeAg3Te3 (PBE, relaxed)
# Electronic total energy ... -3.963 eV/atom
# Total magnetic moment ... 0.143 μB per atom
data_CeAg3Te3
_chemical_formula_sum 'Ce6 Ag18 Te18'
_symmetry_space_group_name_H-M 'R -3'
_symmetry_Int_Tables_number 148
_symmetry_space_group_name_Hall '-R 3'
_cell_length_a 7.9805
_cell_length_b 7.9805
_cell_length_c 22.1015
_cell_angle_alpha 90.00
_cell_angle_beta 90.00
_cell_angle_gamma 120.00
loop_
_atom_site_label
_atom_site_fract_x
_atom_site_fract_y
_atom_site_fract_z
Ce1 0.0000 0.0000 0.1663
Ag1 0.0020 0.6452 0.6254
Te1 0.0015 0.6808 0.4233

# CeAg2Te3 (PBE, relaxed)
# Electronic total energy ... -4.087 eV/atom
# Total magnetic moment ... 0.037 μB per atom
data_CeAg2Te3
_chemical_formula_sum 'Ce2 Ag4 Te6'
_symmetry_space_group_name_H-M 'P 1 21/m 1'
_symmetry_Int_Tables_number 11
_cell_length_a 7.8888
_cell_length_b 4.4312
_cell_length_c 11.4883
_cell_angle_alpha 90.00
_cell_angle_beta 99.88
_cell_angle_gamma 90.00
loop_
_symmetry_equiv_pos_as_xyz
'x,y,z'
'-x,-y,-z'
'-x,y+1/2,-z'
'x,-y+1/2,z'
loop_
_atom_site_label
_atom_site_fract_x
_atom_site_fract_y
_atom_site_fract_z
Ce1 0.2304 0.2500 0.2026
Ag1 0.0693 0.2500 0.9123
Ag2 0.4292 0.7500 0.4197
Te1 0.0630 0.7500 0.3319
Te2 0.2728 0.7500 0.0061
Te3 0.4075 0.7500 0.6677

# CeAgTe (PBE, relaxed)
# Electronic total energy ... -4.686 eV/atom
# Total magnetic moment ... 0.287 μB per atom
data_CeAgTe
_chemical_formula_sum 'Ce2 Ag2 Te2'
_symmetry_space_group_name_H-M 'P 63/m m c'
_symmetry_Int_Tables_number 194
_symmetry_space_group_name_Hall '-P 6c 2c'
_cell_length_a 5.4533
_cell_length_b 5.4533
_cell_length_c 6.2484
_cell_angle_alpha 90.00
_cell_angle_beta 90.00
_cell_angle_gamma 120.00
loop_
_atom_site_label
_atom_site_fract_x
_atom_site_fract_y
_atom_site_fract_z
Ce1 0.3333 0.6667 0.2500
Ag1 0.0000 0.0000 0.0000
Te1 0.3333 0.6667 0.7500

Number 1 is which compound? Ce5AgTe8